This record from Alexandria describes AgBiTe3Pb after structural relaxation. The functional is PBEsol.

a = 4.3931 Å, b = 6.2294 Å, c = 7.5644 Å
α = 114.31°, β = 106.87°, γ = 90.01°
Last column: nearest neighbours and their distance in Å.
Element x y z (fractional)
Pb: 0.3260 0.3259 0.6518  6 Te 3.13-3.22
Te: 0.0060 0.5061 0.0119  2 Bi 3.10, 2 Ag 3.11-3.12, 2 Pb 3.22
Te: 0.3468 0.8471 0.6940  2 Ag 2.96, 2 Pb 3.13, 2 Bi 3.16
Te: 0.6492 0.1493 0.2983  2 Ag 2.95, 2 Bi 3.13, 2 Pb 3.19
Bi: 0.6736 0.6734 0.3471  6 Te 3.10-3.16
Ag: 0.9983 0.9981 0.9969  6 Te 2.95-3.12

Results
Total magnetic moment in μB/f.u.: 0.000
E_form (uncorrected) in eV/atom: -0.180
SG: No. 44

This record from Alexandria describes AgBi3Pd after structural relaxation. The functional is PBEsol.

a = 5.2994 Å, b = 5.2994 Å, c = 5.2994 Å
α = 90.00°, β = 90.00°, γ = 90.00°
Last column: nearest neighbours and their distance in Å.
Element x y z (fractional)
Pd: 0.0000 0.0000 0.0000  6 Bi 2.65
Bi: 0.0000 0.5000 0.0000  2 Pd 2.65
Bi: 0.0000 0.0000 0.5000  2 Pd 2.65
Bi: 0.5000 0.0000 0.0000  2 Pd 2.65
Ag: 0.5000 0.5000 0.5000  12 Bi 3.75

Results
Total magnetic moment in μB/f.u.: 0.000
Formation energy from the elements in eV/f.u.: 2.2
SG: No. 221

This record from Alexandria describes TcAg2BiPd after structural relaxation. The functional is PBEsol.

a = 4.9928 Å, b = 5.1049 Å, c = 5.1049 Å
α = 90.00°, β = 90.00°, γ = 90.00°
Last column: nearest neighbours and their distance in Å.
Element x y z (fractional)
Pd: 0.5000 0.0000 0.0000  2 Bi 2.50
Bi: 0.0000 0.0000 0.0000  2 Pd 2.50, 4 Ag 2.55
Ag: 0.0000 0.0000 0.5000  2 Bi 2.55
Ag: 0.0000 0.5000 0.0000  2 Bi 2.55
Tc: 0.5000 0.5000 0.5000  8 Ag 3.57, 4 Pd 3.61

Results
Total magnetic moment in μB/f.u.: 4.379
Formation energy from the elements in eV/f.u.: 8.0
SG: No. 123

Repeat the second record exactly.
This record from Alexandria describes AgBi3Pd after structural relaxation. The functional is PBEsol.

a = 5.2994 Å, b = 5.2994 Å, c = 5.2994 Å
α = 90.00°, β = 90.00°, γ = 90.00°
Last column: nearest neighbours and their distance in Å.
Element x y z (fractional)
Pd: 0.0000 0.0000 0.0000  6 Bi 2.65
Bi: 0.0000 0.5000 0.0000  2 Pd 2.65
Bi: 0.0000 0.0000 0.5000  2 Pd 2.65
Bi: 0.5000 0.0000 0.0000  2 Pd 2.65
Ag: 0.5000 0.5000 0.5000  12 Bi 3.75

Results
Total magnetic moment in μB/f.u.: 0.000
Formation energy from the elements in eV/f.u.: 2.2
SG: No. 221

- Which value of total magnetic moment does entry 1 give?
  0.000 μB/f.u.